No. 1
DFT (PBE) results for crystalline ZnSiSeBrN at its relaxed geometry.

Results
symmetry = Cm, No. 8

a = 6.9244 Å, b = 6.9244 Å, c = 5.5606 Å
α = 109.57°, β = 109.57°, γ = 27.20°
Positions (direct):
Zn: 0.0000 0.0000 0.0000
Si: 0.4363 0.4363 0.4057
Se: 0.5751 0.5751 0.7985
Br: 0.2841 0.2841 0.4932
N: 0.9435 0.9435 0.2718


No. 2
DFT (PBE) results for crystalline ZnSiSeBrN at its relaxed geometry.

Results
symmetry = P1, No. 1

a = 4.0235 Å, b = 4.8008 Å, c = 7.6451 Å
α = 93.13°, β = 100.29°, γ = 112.93°
Positions (direct):
Zn: 0.0000 0.0000 0.0000
Si: 0.5465 0.5282 0.8066
Se: 0.4231 0.7587 0.1341
Br: 0.3468 0.1351 0.5770
N: 0.2436 0.4165 0.9449


No. 3
DFT (PBE) results for crystalline ZnSiSeBrN at its relaxed geometry.

Results
symmetry = P1, No. 1

a = 4.5620 Å, b = 4.9767 Å, c = 6.2863 Å
α = 67.68°, β = 81.65°, γ = 86.72°
Positions (direct):
Zn: 0.0000 0.0000 0.0000
Si: 0.2258 0.3490 0.0933
Se: 0.6982 0.5075 0.8522
Br: 0.3499 0.2824 0.4506
N: 0.9581 0.6174 0.0139


No. 4
DFT (PBE) results for crystalline ZnSiSeBrN at its relaxed geometry.

Results
symmetry = Cm, No. 8

a = 6.4135 Å, b = 6.4135 Å, c = 5.7383 Å
α = 110.59°, β = 110.59°, γ = 31.96°
Positions (direct):
Zn: 0.0000 0.0000 0.0000
Si: 0.3548 0.3548 0.1911
Se: 0.8374 0.8374 0.4374
Br: 0.1714 0.1714 0.8499
N: 0.4603 0.4603 0.0754


No. 5
DFT (PBE) results for crystalline SnSe2BrN at its relaxed geometry.

Results
symmetry = P4/mmm, No. 123

a = 5.3342 Å, b = 5.3342 Å, c = 5.6628 Å
α = 90.00°, β = 90.00°, γ = 90.00°
Positions (direct):
Sn: 0.0000 0.0000 0.0000
Se: 0.0000 0.5000 0.0000
Se: 0.5000 0.0000 0.0000
Br: 0.0000 0.0000 0.5000
N: 0.5000 0.5000 0.5000


No. 6
DFT (PBE) results for crystalline SnSe2BrN at its relaxed geometry.

Results
symmetry = P4/mmm, No. 123

a = 5.3948 Å, b = 5.3948 Å, c = 3.8819 Å
α = 90.00°, β = 90.00°, γ = 90.00°
Positions (direct):
Sn: 0.0000 0.0000 0.0000
Se: 0.0000 0.5000 0.5000
Se: 0.5000 0.0000 0.5000
Br: 0.5000 0.5000 0.5000
N: 0.5000 0.5000 0.0000


No. 7
DFT (PBE) results for crystalline SnSe2BrN at its relaxed geometry.

Results
symmetry = P4/mmm, No. 123

a = 4.4649 Å, b = 4.4649 Å, c = 5.0241 Å
α = 90.00°, β = 90.00°, γ = 90.00°
Positions (direct):
Sn: 0.0000 0.0000 0.0000
Se: 0.0000 0.5000 0.5000
Se: 0.5000 0.0000 0.5000
Br: 0.5000 0.5000 0.0000
N: 0.5000 0.5000 0.5000


No. 8
DFT (PBE) results for crystalline SnSe2BrN at its relaxed geometry.

Results
symmetry = P4/mmm, No. 123

a = 5.4723 Å, b = 5.4723 Å, c = 3.9994 Å
α = 90.00°, β = 90.00°, γ = 90.00°
Positions (direct):
Sn: 0.0000 0.0000 0.0000
Se: 0.0000 0.5000 0.0000
Se: 0.5000 0.0000 0.0000
Br: 0.5000 0.5000 0.5000
N: 0.0000 0.0000 0.5000


No. 9
DFT (PBE) results for crystalline SrSe2BrN at its relaxed geometry.

Results
symmetry = P4/mmm, No. 123

a = 6.1505 Å, b = 6.1505 Å, c = 4.5170 Å
α = 90.00°, β = 90.00°, γ = 90.00°
Positions (direct):
Sr: 0.0000 0.0000 0.0000
Se: 0.0000 0.5000 0.0000
Se: 0.5000 0.0000 0.0000
Br: 0.5000 0.5000 0.5000
N: 0.0000 0.0000 0.5000


No. 10
DFT (PBE) results for crystalline SrSe2BrN at its relaxed geometry.

Results
symmetry = P4/mmm, No. 123

a = 6.2211 Å, b = 6.2211 Å, c = 5.9619 Å
α = 90.00°, β = 90.00°, γ = 90.00°
Positions (direct):
Sr: 0.0000 0.0000 0.0000
Se: 0.0000 0.5000 0.0000
Se: 0.5000 0.0000 0.0000
Br: 0.0000 0.0000 0.5000
N: 0.5000 0.5000 0.5000


No. 11
DFT (PBE) results for crystalline SrSeBr2N at its relaxed geometry.

Results
symmetry = P4/mmm, No. 123

a = 4.6910 Å, b = 4.6910 Å, c = 5.0371 Å
α = 90.00°, β = 90.00°, γ = 90.00°
Positions (direct):
Sr: 0.0000 0.0000 0.0000
Se: 0.5000 0.5000 0.0000
Br: 0.0000 0.5000 0.5000
Br: 0.5000 0.0000 0.5000
N: 0.5000 0.5000 0.5000


No. 12
DFT (PBE) results for crystalline SrSeBr2N at its relaxed geometry.

Results
symmetry = P4/mmm, No. 123

a = 5.9897 Å, b = 5.9897 Å, c = 6.3886 Å
α = 90.00°, β = 90.00°, γ = 90.00°
Positions (direct):
Sr: 0.0000 0.0000 0.0000
Se: 0.0000 0.0000 0.5000
Br: 0.0000 0.5000 0.0000
Br: 0.5000 0.0000 0.0000
N: 0.5000 0.5000 0.5000


Record order is preserved below.
Uncorrected formation energy: -0.42, -0.07, -0.13, -0.40, 1.18, 1.14, 0.65, 0.95, 0.99, 0.72, -0.13, 0.33 eV per atom